The following is a DFT calculation (meta-GGA SCAN) of a crystal of BaCaSe2 relaxed with PBEsol.

## Properties
E_tot = -24.5358 eV/atom
ΔE_f (raw) = -2.193 eV per atom
Theoretical density = 4.62 Mg/m³

Structure (CIF):
```
data_BaCaSe2
_chemical_formula_sum 'Ba3 Ca3 Se6'
_symmetry_space_group_name_H-M 'R 3 m'
_symmetry_Int_Tables_number 160
_symmetry_space_group_name_Hall 'R 3 -2"'
_cell_length_a 4.3076
_cell_length_b 4.3076
_cell_length_c 22.4885
_cell_angle_alpha 90.00
_cell_angle_beta 90.00
_cell_angle_gamma 120.00
loop_
_atom_site_label
_atom_site_type_symbol
_atom_site_fract_x
_atom_site_fract_y
_atom_site_fract_z
Ba1 Ba 0.0000 0.0000 0.0000
Ca1 Ca 0.0000 0.0000 0.1695
Se1 Se 0.0000 0.0000 0.5757
Se2 Se 0.0000 0.0000 0.7609
```

The following is a DFT calculation (meta-GGA SCAN) of a crystal of NiTeSe3 relaxed with PBEsol.

## Properties
E_tot = -22.4435 eV/atom
ΔE_f (raw) = 0.288 eV per atom
Theoretical density = 6.99 Mg/m³

Structure (CIF):
```
data_NiTeSe3
_chemical_formula_sum 'Ni1 Te1 Se3'
_symmetry_space_group_name_H-M 'P m -3 m'
_symmetry_Int_Tables_number 221
_symmetry_space_group_name_Hall '-P 4 2 3'
_cell_length_a 4.649
_cell_length_b 4.649
_cell_length_c 4.649
_cell_angle_alpha 90.00
_cell_angle_beta 90.00
_cell_angle_gamma 90.00
loop_
_atom_site_label
_atom_site_type_symbol
_atom_site_fract_x
_atom_site_fract_y
_atom_site_fract_z
Ni1 Ni 0.000 0.000 0.000
Te1 Te 0.500 0.500 0.500
Se1 Se 0.000 0.000 0.500
```

The following is a DFT calculation (meta-GGA SCAN) of a crystal of Zr3FeRe relaxed with PBEsol.

## Properties
E_tot = -35.4558 eV/atom
Theoretical density = 6.97 Mg/m³
ΔH_f (0 K) = 0.809 eV/atom

Structure (CIF):
```
data_Zr3FeRe
_chemical_formula_sum 'Zr3 Fe1 Re1'
_symmetry_space_group_name_H-M 'P m -3 m'
_symmetry_Int_Tables_number 221
_symmetry_space_group_name_Hall '-P 4 2 3'
_cell_length_a 4.971
_cell_length_b 4.971
_cell_length_c 4.971
_cell_angle_alpha 90.00
_cell_angle_beta 90.00
_cell_angle_gamma 90.00
loop_
_atom_site_label
_atom_site_type_symbol
_atom_site_fract_x
_atom_site_fract_y
_atom_site_fract_z
Zr1 Zr 0.000 0.000 0.500
Fe1 Fe 0.500 0.500 0.500
Re1 Re 0.000 0.000 0.000
```

The following is a DFT calculation (meta-GGA SCAN) of a crystal of ScHgMoPt2 relaxed with PBEsol.

## Properties
E_tot = -50.8975 eV/atom
Theoretical density = 10.88 Mg/m³
ΔH_f (0 K) = 0.637 eV/atom

Structure (CIF):
```
data_ScHgMoPt2
_chemical_formula_sum 'Sc1 Hg1 Mo1 Pt2'
_symmetry_space_group_name_H-M 'P 4/m m m'
_symmetry_Int_Tables_number 123
_symmetry_space_group_name_Hall '-P 4 2'
_cell_length_a 4.762
_cell_length_b 4.762
_cell_length_c 4.925
_cell_angle_alpha 90.00
_cell_angle_beta 90.00
_cell_angle_gamma 90.00
loop_
_atom_site_label
_atom_site_type_symbol
_atom_site_fract_x
_atom_site_fract_y
_atom_site_fract_z
Sc1 Sc 0.000 0.000 0.000
Hg1 Hg 0.500 0.500 0.000
Mo1 Mo 0.000 0.000 0.500
Pt1 Pt 0.000 0.500 0.500
```

The following is a DFT calculation (meta-GGA SCAN) of a crystal of MgCoSb3 relaxed with PBEsol.

## Properties
E_tot = -26.4617 eV/atom
ΔE_f (raw) = 0.350 eV per atom
Theoretical density = 6.17 Mg/m³

Structure (CIF):
```
data_MgCoSb3
_chemical_formula_sum 'Mg1 Co1 Sb3'
_symmetry_space_group_name_H-M 'P m -3 m'
_symmetry_Int_Tables_number 221
_symmetry_space_group_name_Hall '-P 4 2 3'
_cell_length_a 4.941
_cell_length_b 4.941
_cell_length_c 4.941
_cell_angle_alpha 90.00
_cell_angle_beta 90.00
_cell_angle_gamma 90.00
loop_
_atom_site_label
_atom_site_type_symbol
_atom_site_fract_x
_atom_site_fract_y
_atom_site_fract_z
Mg1 Mg 0.000 0.000 0.000
Co1 Co 0.500 0.500 0.500
Sb1 Sb 0.000 0.500 0.500
```

The following is a DFT calculation (meta-GGA SCAN) of a crystal of BaCrBr2 relaxed with PBEsol.

## Properties
E_tot = -25.2410 eV/atom
ΔE_f (raw) = -1.028 eV per atom
Theoretical density = 5.30 Mg/m³

Structure (CIF):
```
data_BaCrBr2
_chemical_formula_sum 'Ba1 Cr1 Br2'
_symmetry_space_group_name_H-M 'P 4/m m m'
_symmetry_Int_Tables_number 123
_symmetry_space_group_name_Hall '-P 4 2'
_cell_length_a 5.145
_cell_length_b 5.145
_cell_length_c 4.135
_cell_angle_alpha 90.00
_cell_angle_beta 90.00
_cell_angle_gamma 90.00
loop_
_atom_site_label
_atom_site_type_symbol
_atom_site_fract_x
_atom_site_fract_y
_atom_site_fract_z
Ba1 Ba 0.000 0.000 0.000
Cr1 Cr 0.500 0.500 0.000
Br1 Br 0.000 0.500 0.500
```